# 1
## HSeBr (PBE-GGA)

Data for HSeBr after structural relaxation.

Structure (POSCAR):
```
HSeBr
1.0
4.0571 0.0000 0.0000
-0.0018 4.1499 0.0000
-1.6508 -2.0752 11.5201
H Se Br
2 2 2
Cartesian
-0.2826 0.0008 4.8674
2.6872 2.0738 6.6527
1.0153 2.0744 0.6336
1.3893 0.0003 10.8865
-0.2364 2.0800 7.5386
2.6409 -0.0054 3.9815
```

Values from the calculation:
E_tot, eV for the cell shown: -17.39
M_tot, μB per atom: 0.00

# 2
## KMnSnBr5 (PBE-GGA)

Data for KMnSnBr5 after structural relaxation.

Structure (POSCAR):
```
KMnSnBr5
1.0
4.8364 -6.4002 0.0000
4.8364 6.4002 0.0000
-4.3199 0.0000 9.7504
K Mn Sn Br
2 2 2 10
Cartesian
1.5965 4.4614 7.3128
3.7564 -4.4614 2.4376
3.7564 4.0517 2.4376
1.5965 -4.0517 7.3128
4.8364 0.0000 0.0000
2.6765 0.0000 4.8752
-2.3560 0.8204 9.1073
2.0131 2.6857 3.6088
-0.1960 -0.8204 4.2321
1.5965 1.1839 7.3128
5.4997 2.6857 1.2664
-0.1468 -2.6857 8.4841
3.7564 -1.1839 2.4376
5.5489 0.8204 5.5184
3.3398 -2.6857 6.1416
7.7089 -0.8204 0.6431
```

Values from the calculation:
ΔE_f (raw), meV per atom: -1020
M_tot, μB per atom: 0.62